(1)
Below is a geometry-optimized Tb8Tl4CS3 structure, with properties calculated at the GGA-PBE level.

a b c (Å): 7.661 7.661 9.051
angles (deg): 114.89 114.89 60.13
Sites, in units of the cell vectors:
Tb: 0.216 0.216 0.688
Tb: 0.216 0.756 0.688
Tb: 0.244 0.784 0.312
Tb: 0.266 0.266 0.297
Tb: 0.734 0.734 0.703
Tb: 0.756 0.216 0.688
Tb: 0.784 0.244 0.312
Tb: 0.784 0.784 0.312
Tl: 0.000 0.000 0.000
Tl: 0.000 0.500 0.000
Tl: 0.500 0.000 0.000
Tl: 0.500 0.500 0.000
C: 0.000 0.000 0.500
S: 0.000 0.500 0.500
S: 0.500 0.000 0.500
S: 0.500 0.500 0.500

The value obtained for the theoretical density is 9.06 g/cm³. The value obtained for the total energy is -84.2 eV per cell. Its space-group type is C2/m (12).

(2)
Below is a geometry-optimized AlTc2P structure, with properties calculated at the GGA-PBE level.

a b c (Å): 3.029 4.644 8.269
angles (deg): 90.00 90.00 90.00
Sites, in units of the cell vectors:
Al: 0.000 0.000 0.000
Al: 0.500 0.500 0.000
Tc: 0.000 0.000 0.516
Tc: 0.000 0.500 0.252
Tc: 0.500 0.000 0.252
Tc: 0.500 0.500 0.516
P: 0.000 0.500 0.741
P: 0.500 0.000 0.741

The value obtained for the theoretical density is 7.25 g/cm³. Its formation energy is 0.1382 eV per atom. As for the polymorph energy (0 for the lowest one): 0.524 eV/atom. Its space-group type is Cmm2 (35).

(3)
Below is a geometry-optimized Tb2Ho3Bi2 structure, with properties calculated at the GGA-PBE level.

a b c (Å): 12.164 4.321 8.595
angles (deg): 90.00 108.23 90.00
Sites, in units of the cell vectors:
Tb: 0.123 0.000 0.271
Tb: 0.377 0.500 0.729
Tb: 0.623 0.500 0.271
Tb: 0.877 0.000 0.729
Ho: 0.000 0.500 0.500
Ho: 0.125 0.500 0.945
Ho: 0.375 0.000 0.055
Ho: 0.500 0.000 0.500
Ho: 0.625 0.000 0.945
Ho: 0.875 0.500 0.055
Bi: 0.176 0.000 0.689
Bi: 0.324 0.500 0.311
Bi: 0.676 0.500 0.689
Bi: 0.824 0.000 0.311

The value obtained for the theoretical density is 9.53 g/cm³. Its formation energy is -0.4538 eV per atom. Its space-group type is C2/m (12).

(4)
Below is a geometry-optimized SrTlCdAu structure, with properties calculated at the GGA-PBE level.

a b c (Å): 7.483 7.483 7.483
angles (deg): 90.00 90.00 90.00
Sites, in units of the cell vectors:
Sr: 0.000 0.000 0.000
Sr: 0.000 0.500 0.500
Sr: 0.500 0.000 0.500
Sr: 0.500 0.500 0.000
Tl: 0.250 0.250 0.250
Tl: 0.250 0.750 0.750
Tl: 0.750 0.250 0.750
Tl: 0.750 0.750 0.250
Cd: 0.000 0.000 0.500
Cd: 0.000 0.500 0.000
Cd: 0.500 0.000 0.000
Cd: 0.500 0.500 0.500
Au: 0.250 0.250 0.750
Au: 0.250 0.750 0.250
Au: 0.750 0.250 0.250
Au: 0.750 0.750 0.750

The value obtained for the theoretical density is 9.53 g/cm³. Its formation energy is -0.3429 eV per atom. Its space-group type is F-43m (216).

(5)
Below is a geometry-optimized Tl4CoP structure, with properties calculated at the GGA-PBE level.

a b c (Å): 6.196 6.196 6.196
angles (deg): 60.00 60.00 60.00
Sites, in units of the cell vectors:
Tl: 0.125 0.125 0.125
Tl: 0.125 0.125 0.624
Tl: 0.125 0.624 0.125
Tl: 0.624 0.125 0.125
Co: 0.750 0.750 0.750
P: 0.500 0.500 0.500

The value obtained for the theoretical density is 8.96 g/cm³. Its formation energy is 0.9453 eV per atom. Its space-group type is F-43m (216).

(6)
Below is a geometry-optimized YZr4N4 structure, with properties calculated at the GGA-PBE level.

a b c (Å): 4.602 5.755 5.761
angles (deg): 80.89 66.52 66.54
Sites, in units of the cell vectors:
Y: 0.000 0.000 0.000
Zr: 0.185 0.204 0.427
Zr: 0.389 0.427 0.796
Zr: 0.611 0.573 0.204
Zr: 0.815 0.796 0.573
N: 0.102 0.590 0.206
N: 0.307 0.794 0.591
N: 0.693 0.206 0.409
N: 0.898 0.410 0.794

The value obtained for the theoretical density is 6.60 g/cm³. The value obtained for the total energy is -87.7 eV per cell. Its space-group type is P-1 (2).